The following is a GGA-PBE calculation of a relaxed structure of SmRe4B4, from Alexandria via LeMat-Bulk.

a b c (Å): 7.4594 7.4594 4.2590
angles (deg): 90.00 90.00 90.00
With the nearest neighbours (Å) after each atom.
Element x y z (fractional)
Sm: 0.2500 0.2500 0.2500  8 B 2.87-3.09, 4 Re 3.02
Sm: 0.7500 0.7500 0.7500  8 B 2.87-3.09, 4 Re 3.02
Re: 0.1171 0.8761 0.1145  5 B 2.18-2.42
Re: 0.1239 0.6171 0.6145  5 B 2.18-2.42
Re: 0.3761 0.8829 0.6145  5 B 2.18-2.42
Re: 0.3829 0.6239 0.1145  5 B 2.18-2.42
Re: 0.6171 0.3761 0.8855  5 B 2.18-2.42
Re: 0.6239 0.1171 0.3855  5 B 2.18-2.42
Re: 0.8761 0.3829 0.3855  5 B 2.18-2.42
Re: 0.8829 0.1239 0.8855  5 B 2.18-2.42
B: 0.0623 0.5768 0.1180  1 B 1.79
B: 0.0768 0.9377 0.6180  1 B 1.79
B: 0.4232 0.5623 0.6180  1 B 1.79
B: 0.4377 0.9232 0.1180  1 B 1.79
B: 0.5623 0.0768 0.8820  1 B 1.79
B: 0.5768 0.4377 0.3820  1 B 1.79
B: 0.9232 0.0623 0.3820  1 B 1.79
B: 0.9377 0.4232 0.8820  1 B 1.79

Properties
* formation energy: -33.4 kJ/mol of atoms
* DOS at the Fermi energy: 4.632 states/eV/f.u.
* crystal system: tetragonal



The following is a GGA-PBE calculation of a relaxed structure of Y2CrP, from Alexandria via LeMat-Bulk.

a b c (Å): 3.2286 3.2286 8.0005
angles (deg): 90.00 90.00 90.00
With the nearest neighbours (Å) after each atom.
Element x y z (fractional)
Y: 0.0000 0.0000 0.0000  1 Cr 2.86, 4 P 2.99
Y: 0.5000 0.5000 0.3881  1 P 2.97, 4 Cr 3.06, 4 Y 3.23
Cr: 0.0000 0.0000 0.6426  4 P 2.47
P: 0.5000 0.5000 0.7593  4 Cr 2.47

Properties
* formation energy: -23.3 kJ/mol of atoms
* DOS at the Fermi energy: 3.693 states/eV/f.u.
* crystal system: tetragonal



The following is a GGA-PBE calculation of a relaxed structure of KCa, from Alexandria via LeMat-Bulk.

a b c (Å): 4.1337 4.1337 14.3748
angles (deg): 90.00 90.00 120.00
With the nearest neighbours (Å) after each atom.
Element x y z (fractional)
K: 0.3333 0.6667 0.1413  6 K 4.13, 3 Ca 4.34
K: 0.6667 0.3333 0.8587  6 K 4.13, 3 Ca 4.34
Ca: 0.3333 0.6667 0.6065  9 Ca 3.88-4.13, 3 K 4.34
Ca: 0.6667 0.3333 0.3935  9 Ca 3.88-4.13, 3 K 4.34

Properties
* formation energy: 10.0 kJ/mol of atoms
* DOS at the Fermi energy: 2.084 states/eV/f.u.
* crystal system: trigonal



The following is a GGA-PBE calculation of a relaxed structure of Zr3S5, from Alexandria via LeMat-Bulk.

a b c (Å): 7.4240 7.4240 6.3622
angles (deg): 90.00 90.00 120.00
With the nearest neighbours (Å) after each atom.
Element x y z (fractional)
Zr: 0.0000 0.3969 0.2500  7 S 2.57-2.78
Zr: 0.0000 0.6031 0.7500  7 S 2.57-2.78
Zr: 0.3969 0.0000 0.2500  7 S 2.57-2.78
Zr: 0.3969 0.3969 0.7500  7 S 2.57-2.78
Zr: 0.6031 0.0000 0.7500  7 S 2.57-2.78
Zr: 0.6031 0.6031 0.2500  7 S 2.57-2.78
S: 0.0000 0.2572 0.7500  3 Zr 2.57-2.59
S: 0.0000 0.7428 0.2500  3 Zr 2.57-2.59
S: 0.2572 0.0000 0.7500  3 Zr 2.57-2.59
S: 0.2572 0.2572 0.2500  3 Zr 2.57-2.59
S: 0.3333 0.6667 0.0000  6 Zr 2.78
S: 0.3333 0.6667 0.5000  6 Zr 2.78
S: 0.6667 0.3333 0.0000  6 Zr 2.78
S: 0.6667 0.3333 0.5000  6 Zr 2.78
S: 0.7428 0.0000 0.2500  3 Zr 2.57-2.59
S: 0.7428 0.7428 0.7500  3 Zr 2.57-2.59

Properties
* E_form (uncorrected): -1.282 eV per atom
* DOS at the Fermi energy: 4.959 states/eV/f.u.
* crystal system: hexagonal



The following is a GGA-PBE calculation of a relaxed structure of LaBeTl2Cu, from Alexandria via LeMat-Bulk.

a b c (Å): 5.0434 5.0434 5.4422
angles (deg): 90.00 90.00 90.00
With the nearest neighbours (Å) after each atom.
Element x y z (fractional)
La: 0.0000 0.0000 0.0000  2 Cu 2.72
Be: 0.5000 0.5000 0.0000  4 La 3.57, 8 Tl 3.71
Tl: 0.0000 0.5000 0.5000  2 Cu 2.52
Tl: 0.5000 0.0000 0.5000  2 Cu 2.52
Cu: 0.0000 0.0000 0.5000  4 Tl 2.52, 2 La 2.72

Properties
* formation energy: 47.1 kJ/mol of atoms
* DOS at the Fermi energy: 3.130 states/eV/f.u.
* crystal system: tetragonal



The following is a GGA-PBE calculation of a relaxed structure of Ca2BSe, from Alexandria via LeMat-Bulk.

a b c (Å): 6.3804 6.3804 6.3804
angles (deg): 109.36 109.36 109.69
With the nearest neighbours (Å) after each atom.
Element x y z (fractional)
Ca: 0.1056 0.6250 0.9806  2 B 2.67, 2 Se 2.86
Ca: 0.3750 0.3556 0.4806  2 B 2.67, 2 Se 2.86
Ca: 0.6444 0.1250 0.0194  2 B 2.67, 2 Se 2.86
Ca: 0.8750 0.8944 0.5194  2 B 2.67, 2 Se 2.86
B: 0.0000 0.0000 0.0000  4 Ca 2.67
B: 0.7500 0.2500 0.5000  4 Ca 2.67
Se: 0.2500 0.7500 0.5000  4 Ca 2.86
Se: 0.5000 0.5000 0.0000  4 Ca 2.86

Properties
* E_form (uncorrected): -0.194 eV per atom
* offset from the most stable computed form: 31.8 kJ/mol of formula units
* DOS at the Fermi energy: 2.247 states/eV/f.u.
* crystal system: tetragonal